Material: Na6Tl3Cd2
Method: DFT, PBE
State: optimized geometry

Structure (POSCAR):
```
Na6Tl3Cd2
1.0
-2.958 2.958 10.862
2.958 -2.958 10.862
2.958 2.958 -10.862
Na Tl Cd
6 3 2
direct
0.087 0.587 0.500 Na
0.207 0.207 0.000 Na
0.413 0.913 0.500 Na
0.587 0.087 0.500 Na
0.793 0.793 0.000 Na
0.913 0.413 0.500 Na
0.352 0.352 0.000 Tl
0.500 0.500 0.000 Tl
0.648 0.648 0.000 Tl
0.064 0.064 0.000 Cd
0.936 0.936 0.000 Cd
```

Output
Space group: I4/mmm, No. 139
Energy above the most stable polymorph in this dataset in meV/atom: 84.9
Crystal system: tetragonal
Formation enthalpy at 0 K in eV/atom: 0.05



Material: KTaNi3
Method: DFT, PBE
State: optimized geometry

Structure (POSCAR):
```
KTaNi3
1.0
4.741 0.000 0.000
0.000 4.741 0.000
0.000 0.000 4.741
K Ta Ni
1 1 3
direct
0.000 0.000 0.000 K
0.500 0.500 0.500 Ta
0.000 0.500 0.500 Ni
0.500 0.000 0.500 Ni
0.500 0.500 0.000 Ni
```

Output
Space group: Pm-3m, No. 221
Energy above the most stable polymorph in this dataset in meV/atom: 0.0
Crystal system: cubic
Formation enthalpy at 0 K in eV/atom: 1.01



Material: VBiIrS2
Method: DFT, PBE
State: optimized geometry

Structure (POSCAR):
```
VBiIrS2
1.0
4.520 0.000 0.000
0.000 4.520 0.000
0.000 0.000 4.780
V Bi Ir S
1 1 1 2
direct
0.000 0.000 0.000 V
0.500 0.500 0.500 Bi
0.000 0.000 0.500 Ir
0.000 0.500 0.000 S
0.500 0.000 0.000 S
```

Output
Space group: P4/mmm, No. 123
Uncorrected formation energy in eV/f.u.: 0.99
Crystal system: tetragonal



Material: AcAl3Cu
Method: DFT, PBE
State: optimized geometry

Structure (POSCAR):
```
AcAl3Cu
1.0
0.000 3.103 5.442
3.100 0.000 5.442
3.100 3.103 0.000
Ac Al Cu
1 3 1
direct
0.000 0.000 0.000 Ac
0.252 0.252 0.248 Al
0.600 0.600 0.400 Al
0.752 0.752 0.748 Al
0.369 0.369 0.631 Cu
```

Output
Space group: Fmm2, No. 42
Energy above the most stable polymorph in this dataset in meV/atom: 0.0
Crystal system: orthorhombic
Formation enthalpy at 0 K in eV/atom: -0.42



no.,final energy (eV for the cell shown),total moment (μB/f.u.)
1,-16.2,0.000
2,-25.2,0.000
3,-29.1,0.000
4,-21.5,0.000